BiOsIN2: optimized geometry, PBE-GGA.

- Formation energy without anion corrections: 1190 kJ/mol of formula units
- Theoretical density: 7.3 g/cm³
- Energy above the most stable polymorph in this dataset: 590 kJ/mol of formula units

Cell lengths 4.185, 4.185, 7.243 Å; angles 90.00, 90.00, 90.00 degrees
Element x y z (fractional)
Bi1 0.000 0.000 0.000
Os1 0.500 0.500 0.500
I1 0.000 0.000 0.500
N1 0.000 0.500 0.000
N2 0.500 0.000 0.000